Entry 1:
{"formula": "TaAlTc", "functional": "PBEsol", "state": "relaxed", "lattice_angstrom": [[3.211, 0.000, 0.000], [0.000, 3.211, 0.000], [-1.605, -1.605, 4.490]], "species": ["Ta", "Al", "Tc"], "frac_coords": [[0.678, 0.678, 0.356], [0.993, 0.993, 0.986], [0.329, 0.329, 0.658]], "mass_density_g_cm3": 11.0, "e_above_lowest_polymorph_mev_per_atom": 0, "vol_a3_per_cell": 46.29, "delta_e_f_ev_per_atom": -0.324}



Entry 2:
{"formula": "Ta2AlTe", "functional": "PBEsol", "state": "relaxed", "lattice_angstrom": [[3.184, 0.000, 0.000], [0.000, 4.836, 0.005], [-1.592, -1.151, 4.703]], "species": ["Te", "Al", "Ta", "Ta"], "frac_coords": [[0.499, 0.535, 0.997], [0.750, 0.207, 0.500], [0.010, 0.046, 0.020], [0.241, 0.712, 0.482]], "mass_density_g_cm3": 11.8, "formation_energy_uncorrected_ev_per_atom": 0.07, "e_above_lowest_polymorph_mev_per_atom": 0, "vol_a3_per_cell": 72.45}



Entry 3:
{"formula": "Ta2AlTe", "functional": "PBEsol", "state": "relaxed", "lattice_angstrom": [[-1.564, 0.599, -2.774], [-0.072, -2.244, -2.337], [-7.882, -3.874, 1.715]], "species": ["Te", "Al", "Ta", "Ta"], "frac_coords": [[0.493, 0.493, 0.520], [0.257, 0.257, 0.230], [0.003, 0.003, 0.992], [0.747, 0.747, 0.758]], "mass_density_g_cm3": 10.8, "formation_energy_uncorrected_ev_per_atom": 0.11, "e_above_lowest_polymorph_mev_per_atom": 39, "vol_a3_per_cell": 79.57}



Entry 4:
{"formula": "Ta2AlTe", "functional": "PBEsol", "state": "relaxed", "lattice_angstrom": [[-1.266, -2.572, -0.998], [3.579, -0.883, -2.265], [2.614, -1.668, 4.779]], "species": ["Te", "Al", "Ta", "Ta"], "frac_coords": [[0.500, 0.500, 0.000], [0.000, 0.500, 0.500], [0.735, 0.000, 0.739], [0.265, 0.000, 0.261]], "mass_density_g_cm3": 11.7, "formation_energy_uncorrected_ev_per_atom": 0.23, "e_above_lowest_polymorph_mev_per_atom": 163, "vol_a3_per_cell": 73.02}



Entry 5:
{"formula": "TaTiAl6", "functional": "PBEsol", "state": "relaxed", "lattice_angstrom": [[3.818, 0.000, 0.000], [0.000, 3.818, 0.000], [0.000, 0.000, 8.542]], "species": ["Ta", "Al", "Al", "Al", "Al", "Al", "Al", "Ti"], "frac_coords": [[0.000, 0.000, 0.000], [0.500, 0.500, 0.000], [0.000, 0.000, 0.500], [0.000, 0.500, 0.251], [0.500, 0.000, 0.749], [0.500, 0.000, 0.251], [0.000, 0.500, 0.749], [0.500, 0.500, 0.500]], "mass_density_g_cm3": 5.2, "vol_a3_per_cell": 124.50, "delta_e_f_ev_per_atom": -0.362}



Entry 6:
{"formula": "TaTiAl", "functional": "PBEsol", "state": "relaxed", "lattice_angstrom": [[4.424, 0.000, 0.000], [2.212, 3.831, 0.000], [2.212, 1.277, 3.612]], "species": ["Ta", "Al", "Ti"], "frac_coords": [[0.750, 0.750, 0.750], [0.500, 0.500, 0.500], [0.000, 0.000, 0.000]], "mass_density_g_cm3": 6.9, "vol_a3_per_cell": 61.22, "delta_e_f_ev_per_atom": 0.880}